BIrNO2 | GGA-PBE | relaxed

density: 7.14 Mg/m³
raw formation energy: 1.072 eV/atom
crystal system: tetragonal
Fermi-level density of states: 2.69 states/eV per cell
M_tot: 0.00 Bohr magnetons per cell
E: -5.6841 eV/atom

a b c (Å): 3.945 3.945 3.722
angles (deg): 90.00 90.00 90.00
Fractional positions:
B 0.000 0.000 0.000
Ir 0.500 0.500 0.500
N 0.500 0.500 0.000
O 0.000 0.500 0.500
O 0.500 0.000 0.500